Record 1
A plane-wave DFT calculation with PBE was carried out for a relaxed Rb2In12Hg7 crystal.

Cell lengths 4.9021, 12.0396, 12.0396 Å; angles 120.00, 90.00, 90.00 degrees
Element x y z (fractional)
In  0.2393  0.4276  0.3746
In  0.2205  0.7444  0.8627
In  0.2205  0.1373  0.8817
In  0.7607  0.0530  0.4276
In  0.7795  0.2556  0.1373
In  0.2205  0.1183  0.2556
In  0.7607  0.3746  0.9470
In  0.7795  0.8627  0.1183
In  0.2393  0.6254  0.0530
In  0.7607  0.5724  0.6254
In  0.2393  0.9470  0.5724
In  0.7795  0.8817  0.7444
Hg  0.2751  0.4157  0.1199
Hg  0.7249  0.1199  0.7042
Hg  0.2751  0.8801  0.2958
Hg  0.7249  0.2958  0.4157
Hg  0.2751  0.7042  0.5843
Hg  0.7249  0.5843  0.8801
Hg  0.5000  0.0000  0.0000
Rb  0.2401  0.3333  0.6667
Rb  0.7599  0.6667  0.3333

Output
Its electronic total energy is -1.819 eV/atom. As for the symmetry: P-3 (147). As for the density of states at the Fermi level: 9.88 states/eV/f.u. The total magnetization comes out at 0.0 μB/f.u.



Record 2
A plane-wave DFT calculation with PBE was carried out for a relaxed Ac2La7Tm crystal.

Cell lengths 3.6079, 15.5405, 15.5403 Å; angles 154.32, 90.00, 90.00 degrees
Element x y z (fractional)
La  0.5000  0.8644  0.6735
La  0.5000  0.1356  0.3265
La  0.5000  0.3265  0.1356
La  0.5000  0.6735  0.8644
La  0.0000  0.3169  0.6831
La  0.5000  0.5000  0.5000
La  0.0000  0.6831  0.3169
Ac  0.5000  0.7916  0.2084
Ac  0.5000  0.2084  0.7916
Tm  0.0000  0.0000  0.0000

Output
Its electronic total energy is -4.570 eV/atom. As for the symmetry: Cmmm (65). As for the density of states at the Fermi level: 16.90 states/eV/f.u. The total magnetization comes out at 0.0 μB/f.u.



Record 3
A plane-wave DFT calculation with PBE was carried out for a relaxed Li15CaTl4 crystal.

Cell lengths 4.2619, 4.2619, 22.3552 Å; angles 90.00, 90.00, 90.00 degrees
Element x y z (fractional)
Li  0.5000  0.0000  0.8837
Li  0.5000  0.0000  0.5000
Li  0.0000  0.5000  0.8837
Li  0.0000  0.5000  0.5000
Li  0.0000  0.5000  0.1163
Li  0.5000  0.5000  0.5953
Li  0.5000  0.0000  0.1163
Li  0.5000  0.0000  0.3055
Li  0.0000  0.5000  0.3055
Li  0.5000  0.5000  0.4047
Li  0.5000  0.5000  0.0000
Li  0.5000  0.5000  0.2102
Li  0.0000  0.5000  0.6945
Li  0.5000  0.5000  0.7898
Li  0.5000  0.0000  0.6945
Tl  0.0000  0.0000  0.4014
Tl  0.0000  0.0000  0.5986
Tl  0.0000  0.0000  0.2120
Tl  0.0000  0.0000  0.7880
Ca  0.0000  0.0000  0.0000

Output
Its electronic total energy is -2.148 eV/atom. As for the symmetry: P4/mmm (123). As for the density of states at the Fermi level: 8.01 states/eV/f.u. The total magnetization comes out at 0.0 μB/f.u.



Record 4
A plane-wave DFT calculation with PBE was carried out for a relaxed Rb2MnCrMo crystal.

Cell lengths 6.8639, 4.5804, 6.8639 Å; angles 90.00, 90.00, 90.00 degrees
Element x y z (fractional)
Mo  0.0000  0.5000  0.0000
Mn  0.5000  0.5000  0.5000
Rb  0.0000  0.0000  0.5000
Rb  0.5000  0.0000  0.0000
Cr  0.0000  0.0000  0.0000

Output
Its electronic total energy is -4.629 eV/atom. As for the symmetry: P4/mmm (123). As for the density of states at the Fermi level: 6.29 states/eV/f.u. The total magnetization comes out at 3.7 μB/f.u.



What is the electronic total energy in the first record?
-1.819 eV/atom



The lowest electronic total energy belongs to which entry?
Rb2MnCrMo